Entry 1:
# PBE AcHoErSn, optimized geometry
data_AcHoErSn
_chemical_formula_sum 'Ac4 Ho4 Er4 Sn4'
_symmetry_space_group_name_H-M 'F -4 3 m'
_symmetry_Int_Tables_number 216
_symmetry_space_group_name_Hall 'F -4 2 3'
_cell_length_a 7.8134
_cell_length_b 7.8134
_cell_length_c 7.8134
_cell_angle_alpha 90.00
_cell_angle_beta 90.00
_cell_angle_gamma 90.00
loop_
_atom_site_label
_atom_site_type_symbol
_atom_site_fract_x
_atom_site_fract_y
_atom_site_fract_z
Ac1 Ac 0.0000 0.0000 0.0000
Ho1 Ho 0.2500 0.2500 0.2500
Er1 Er 0.2500 0.2500 0.7500
Sn1 Sn 0.0000 0.0000 0.5000
# D(E_F) = 25.595 states/eV/cell
# Size of the total moment = 0.0002 μB per atom
# Formation energy = -0.139 eV/atom

Entry 2:
# PBE TbPmLu2, optimized geometry
data_TbPmLu2
_chemical_formula_sum 'Tb4 Pm4 Lu8'
_symmetry_space_group_name_H-M 'F m -3 m'
_symmetry_Int_Tables_number 225
_symmetry_space_group_name_Hall '-F 4 2 3'
_cell_length_a 7.9608
_cell_length_b 7.9608
_cell_length_c 7.9608
_cell_angle_alpha 90.00
_cell_angle_beta 90.00
_cell_angle_gamma 90.00
loop_
_atom_site_label
_atom_site_type_symbol
_atom_site_fract_x
_atom_site_fract_y
_atom_site_fract_z
Tb1 Tb 0.0000 0.0000 0.0000
Pm1 Pm 0.0000 0.0000 0.5000
Lu1 Lu 0.2500 0.2500 0.2500
# D(E_F) = 23.091 states/eV/cell
# Energy above the most stable polymorph in this dataset = 0.28 eV per formula unit
# Size of the total moment = 0.0000 μB per atom
# Formation energy = 0.096 eV/atom

Entry 3:
# PBE NpAg3Cl2F6, optimized geometry
data_NpAg3Cl2F6
_chemical_formula_sum 'Np2 Ag6 Cl4 F12'
_symmetry_space_group_name_H-M 'C 1 2/m 1'
_symmetry_Int_Tables_number 12
_cell_length_a 14.3496
_cell_length_b 7.3761
_cell_length_c 5.0201
_cell_angle_alpha 90.00
_cell_angle_beta 98.72
_cell_angle_gamma 90.00
loop_
_symmetry_equiv_pos_as_xyz
'x,y,z'
'-x,-y,-z'
'-x,y,-z'
'x,-y,z'
'x+1/2,y+1/2,z'
'-x+1/2,-y+1/2,-z'
'-x+1/2,y+1/2,-z'
'x+1/2,-y+1/2,z'
loop_
_atom_site_label
_atom_site_type_symbol
_atom_site_fract_x
_atom_site_fract_y
_atom_site_fract_z
Np1 Np 0.0000 0.0000 0.0000
Ag1 Ag 0.0000 0.5000 0.5000
Ag2 Ag 0.2500 0.2500 0.0000
Cl1 Cl 0.1712 0.5000 0.7301
F1 F 0.0623 0.2046 0.2517
F2 F 0.1184 0.0000 0.8030
# Uncorrected formation energy = -1968 meV per atom
# D(E_F) = 16.520 states/eV/cell
# Size of the total moment = 0.1667 μB per atom

Entry 4:
# PBE LiMgSnHg, optimized geometry
data_LiMgSnHg
_chemical_formula_sum 'Li4 Mg4 Sn4 Hg4'
_symmetry_space_group_name_H-M 'F -4 3 m'
_symmetry_Int_Tables_number 216
_symmetry_space_group_name_Hall 'F -4 2 3'
_cell_length_a 6.9618
_cell_length_b 6.9618
_cell_length_c 6.9618
_cell_angle_alpha 90.00
_cell_angle_beta 90.00
_cell_angle_gamma 90.00
loop_
_atom_site_label
_atom_site_type_symbol
_atom_site_fract_x
_atom_site_fract_y
_atom_site_fract_z
Li1 Li 0.0000 0.0000 0.0000
Mg1 Mg 0.0000 0.0000 0.5000
Sn1 Sn 0.2500 0.2500 0.2500
Hg1 Hg 0.2500 0.2500 0.7500
# D(E_F) = 7.189 states/eV/cell
# Size of the total moment = 0.0000 μB per atom
# Formation energy = -0.249 eV/atom

Entry 5:
# PBE Cs2AlSb, optimized geometry
data_Cs2AlSb
_chemical_formula_sum 'Cs8 Al4 Sb4'
_symmetry_space_group_name_H-M 'I -4 2 d'
_symmetry_Int_Tables_number 122
_symmetry_space_group_name_Hall 'I -4 2bw'
_cell_length_a 5.2584
_cell_length_b 5.2584
_cell_length_c 25.6508
_cell_angle_alpha 90.00
_cell_angle_beta 90.00
_cell_angle_gamma 90.00
loop_
_atom_site_label
_atom_site_type_symbol
_atom_site_fract_x
_atom_site_fract_y
_atom_site_fract_z
Cs1 Cs 0.2414 0.2500 0.1250
Al1 Al 0.0000 0.0000 0.0000
Sb1 Sb 0.0000 0.0000 0.5000
# Uncorrected formation energy = 421 meV per atom
# D(E_F) = 14.799 states/eV/cell
# Energy above the most stable polymorph in this dataset = 0.79 eV per formula unit
# Size of the total moment = 0.1130 μB per atom

Entry 6:
# PBE Ni21B6Pb2, optimized geometry
data_Ni21B6Pb2
_chemical_formula_sum 'Ni84 B24 Pb8'
_symmetry_space_group_name_H-M 'F m -3 m'
_symmetry_Int_Tables_number 225
_symmetry_space_group_name_Hall '-F 4 2 3'
_cell_length_a 10.6653
_cell_length_b 10.6653
_cell_length_c 10.6653
_cell_angle_alpha 90.00
_cell_angle_beta 90.00
_cell_angle_gamma 90.00
loop_
_atom_site_label
_atom_site_type_symbol
_atom_site_fract_x
_atom_site_fract_y
_atom_site_fract_z
Ni1 Ni 0.0000 0.0000 0.0000
Ni2 Ni 0.0000 0.1672 0.1672
Ni3 Ni 0.1133 0.1133 0.3867
B1 B 0.0000 0.0000 0.2722
Pb1 Pb 0.2500 0.2500 0.2500
# D(E_F) = 79.276 states/eV/cell
# Size of the total moment = 0.0186 μB per atom
# Formation energy = -0.188 eV/atom

Entry 7:
# PBE SrCdW2, optimized geometry
data_SrCdW2
_chemical_formula_sum 'Sr2 Cd2 W4'
_symmetry_space_group_name_H-M 'C 1 2/m 1'
_symmetry_Int_Tables_number 12
_cell_length_a 11.5048
_cell_length_b 2.8140
_cell_length_c 5.2912
_cell_angle_alpha 90.00
_cell_angle_beta 105.34
_cell_angle_gamma 90.00
loop_
_symmetry_equiv_pos_as_xyz
'x,y,z'
'-x,-y,-z'
'-x,y,-z'
'x,-y,z'
'x+1/2,y+1/2,z'
'-x+1/2,-y+1/2,-z'
'-x+1/2,y+1/2,-z'
'x+1/2,-y+1/2,z'
loop_
_atom_site_label
_atom_site_type_symbol
_atom_site_fract_x
_atom_site_fract_y
_atom_site_fract_z
Sr1 Sr 0.0000 0.0000 0.0000
Cd1 Cd 0.0000 0.5000 0.5000
W1 W 0.2296 0.0000 0.7324
# D(E_F) = 5.490 states/eV/cell
# Size of the total moment = 0.0000 μB per atom
# Formation energy = 0.990 eV/atom

Entry 8:
# PBE Ce2DyGa2Ag2, optimized geometry
data_Ce2DyGa2Ag2
_chemical_formula_sum 'Ce6 Dy3 Ga6 Ag6'
_symmetry_space_group_name_H-M 'R -3 m'
_symmetry_Int_Tables_number 166
_symmetry_space_group_name_Hall '-R 3 2"'
_cell_length_a 4.5141
_cell_length_b 4.5141
_cell_length_c 26.3636
_cell_angle_alpha 90.00
_cell_angle_beta 90.00
_cell_angle_gamma 120.00
loop_
_atom_site_label
_atom_site_type_symbol
_atom_site_fract_x
_atom_site_fract_y
_atom_site_fract_z
Ce1 Ce 0.0000 0.0000 0.1402
Dy1 Dy 0.0000 0.0000 0.0000
Ga1 Ga 0.0000 0.0000 0.2629
Ag1 Ag 0.0000 0.0000 0.4022
# D(E_F) = 28.797 states/eV/cell
# Size of the total moment = 0.1759 μB per atom
# Formation energy = -0.360 eV/atom

Entry 9:
# PBE Rb4HoTh3Se8, optimized geometry
data_Rb4HoTh3Se8
_chemical_formula_sum 'Rb12 Ho3 Th9 Se24'
_symmetry_space_group_name_H-M 'R -3 m'
_symmetry_Int_Tables_number 166
_symmetry_space_group_name_Hall '-R 3 2"'
_cell_length_a 8.5135
_cell_length_b 8.5135
_cell_length_c 24.4240
_cell_angle_alpha 90.00
_cell_angle_beta 90.00
_cell_angle_gamma 120.00
loop_
_atom_site_label
_atom_site_type_symbol
_atom_site_fract_x
_atom_site_fract_y
_atom_site_fract_z
Rb1 Rb 0.0000 0.0000 0.0000
Rb2 Rb 0.0000 0.5000 0.0000
Ho1 Ho 0.0000 0.0000 0.5000
Th1 Th 0.0000 0.5000 0.5000
Se1 Se 0.0000 0.0000 0.2364
Se2 Se 0.0066 0.5033 0.2341
# Uncorrected formation energy = -1565 meV per atom
# D(E_F) = 31.553 states/eV/cell
# Size of the total moment = 0.0000 μB per atom

Entry 10:
# PBE Tl3GaAs, optimized geometry
data_Tl3GaAs
_chemical_formula_sum 'Tl3 Ga1 As1'
_symmetry_space_group_name_H-M 'P m -3 m'
_symmetry_Int_Tables_number 221
_symmetry_space_group_name_Hall '-P 4 2 3'
_cell_length_a 5.5775
_cell_length_b 5.5775
_cell_length_c 5.5775
_cell_angle_alpha 90.00
_cell_angle_beta 90.00
_cell_angle_gamma 90.00
loop_
_atom_site_label
_atom_site_type_symbol
_atom_site_fract_x
_atom_site_fract_y
_atom_site_fract_z
Tl1 Tl 0.0000 0.0000 0.5000
Ga1 Ga 0.5000 0.5000 0.5000
As1 As 0.0000 0.0000 0.0000
# D(E_F) = 3.909 states/eV/cell
# Energy above the most stable polymorph in this dataset = 0.12 eV per formula unit
# Size of the total moment = 0.0000 μB per atom
# Formation energy = 0.448 eV/atom

Entry 11:
# PBE U2Co12NiP3, optimized geometry
data_U2Co12NiP3
_chemical_formula_sum 'U6 Co36 Ni3 P9'
_symmetry_space_group_name_H-M 'R -3 m'
_symmetry_Int_Tables_number 166
_symmetry_space_group_name_Hall '-R 3 2"'
_cell_length_a 8.0299
_cell_length_b 8.0299
_cell_length_c 12.1820
_cell_angle_alpha 90.00
_cell_angle_beta 90.00
_cell_angle_gamma 120.00
loop_
_atom_site_label
_atom_site_type_symbol
_atom_site_fract_x
_atom_site_fract_y
_atom_site_fract_z
U1 U 0.0000 0.0000 0.1375
Co1 Co 0.0158 0.5079 0.3807
Co2 Co 0.0161 0.5080 0.8200
Ni1 Ni 0.0000 0.0000 0.5000
P1 P 0.0000 0.5000 0.0000
# D(E_F) = 56.719 states/eV/cell
# Size of the total moment = 0.1693 μB per atom
# Formation energy = -0.082 eV/atom

Entry 12:
# PBE Ag8Br8Cl3, optimized geometry
data_Ag8Br8Cl3
_chemical_formula_sum 'Ag16 Br16 Cl6'
_symmetry_space_group_name_H-M 'C 1 2/m 1'
_symmetry_Int_Tables_number 12
_cell_length_a 26.3514
_cell_length_b 4.6121
_cell_length_c 10.9420
_cell_angle_alpha 90.00
_cell_angle_beta 104.17
_cell_angle_gamma 90.00
loop_
_symmetry_equiv_pos_as_xyz
'x,y,z'
'-x,-y,-z'
'-x,y,-z'
'x,-y,z'
'x+1/2,y+1/2,z'
'-x+1/2,-y+1/2,-z'
'-x+1/2,y+1/2,-z'
'x+1/2,-y+1/2,z'
loop_
_atom_site_label
_atom_site_type_symbol
_atom_site_fract_x
_atom_site_fract_y
_atom_site_fract_z
Ag1 Ag 0.0140 0.0000 0.2287
Ag2 Ag 0.1290 0.5000 0.4941
Ag3 Ag 0.1352 0.5000 0.8978
Ag4 Ag 0.2170 0.0000 0.2470
Br1 Br 0.0350 0.5000 0.7576
Br2 Br 0.0753 0.0000 0.4545
Br3 Br 0.1511 0.0000 0.0189
Br4 Br 0.1949 0.5000 0.3413
Cl1 Cl 0.0000 0.0000 0.0000
Cl2 Cl 0.1841 0.5000 0.7215
# Uncorrected formation energy = -277 meV per atom
# D(E_F) = 30.138 states/eV/cell
# Size of the total moment = 0.0000 μB per atom

Question: Number 4 is which compound?
Answer: LiMgSnHg

Question: Which value of size of the total moment does entry 9 give?
Answer: 0.0000 μB per atom